Entry 1:
{"formula": "TcIr2Au", "functional": "PBE", "state": "relaxed", "lattice_angstrom": [[1.3890, -2.3724, 0.0000], [1.3890, 2.3724, 0.0000], [0.0000, 0.0000, 9.5778]], "species": ["Tc", "Ir", "Ir", "Au"], "fractional_positions": [[0.0000, 0.0000, 0.0000], [0.5000, 0.5000, 0.2332], [0.5000, 0.5000, 0.7668], [0.0000, 0.0000, 0.5000]], "delta_e_f_mev_per_atom": 316, "spacegroup": "No. 65", "dos_at_fermi_per_ev_fu": 5.6}

Entry 2:
{"formula": "NbAg2HAu", "functional": "PBE", "state": "relaxed", "lattice_angstrom": [[5.1546, 0.0000, 0.0000], [0.0000, 5.1546, 0.0000], [0.0000, 0.0000, 5.0341]], "species": ["Nb", "Ag", "Ag", "H", "Au"], "fractional_positions": [[0.0000, 0.0000, 0.0000], [0.0000, 0.5000, 0.5000], [0.5000, 0.0000, 0.5000], [0.5000, 0.5000, 0.0000], [0.0000, 0.0000, 0.5000]], "spacegroup": "No. 123", "dos_at_fermi_per_ev_fu": 4.8, "energy_ev_per_atom": -2.960}

Entry 3:
{"formula": "BaBe2Cr", "functional": "PBE", "state": "relaxed", "lattice_angstrom": [[-2.4352, 2.4352, 3.4705], [2.4352, -2.4352, 3.4705], [2.4352, 2.4352, -3.4705]], "species": ["Ba", "Be", "Be", "Cr"], "fractional_positions": [[0.0000, 0.0000, 0.0000], [0.2500, 0.7500, 0.5000], [0.5000, 0.5000, 0.0000], [0.7500, 0.2500, 0.5000]], "delta_e_f_mev_per_atom": 1095, "spacegroup": "No. 119", "dos_at_fermi_per_ev_fu": 2.0}

Entry 4:
{"formula": "TlTcNF2", "functional": "PBE", "state": "relaxed", "lattice_angstrom": [[4.4282, 0.0000, 0.0000], [0.0000, 4.4282, 0.0000], [0.0000, 0.0000, 3.8021]], "species": ["Tl", "Tc", "N", "F", "F"], "fractional_positions": [[0.0000, 0.0000, 0.0000], [0.5000, 0.5000, 0.5000], [0.5000, 0.5000, 0.0000], [0.0000, 0.5000, 0.5000], [0.5000, 0.0000, 0.5000]], "e_form_raw_ev_per_atom": -0.850, "spacegroup": "No. 123", "dos_at_fermi_per_ev_fu": 2.6}

Entry 5:
{"formula": "Ac8PPt3Se4", "functional": "PBE", "state": "relaxed", "lattice_angstrom": [[4.4001, 2.5404, 7.6383], [-4.4001, 2.5404, 7.6383], [0.0000, -5.0808, 7.6383]], "species": ["Ac", "Ac", "Ac", "Ac", "Ac", "Ac", "Ac", "Ac", "P", "Pt", "Pt", "Pt", "Se", "Se", "Se", "Se"], "fractional_positions": [[0.2412, 0.7450, 0.7450], [0.2422, 0.2422, 0.2422], [0.2550, 0.2550, 0.7588], [0.2550, 0.7588, 0.2550], [0.7450, 0.2412, 0.7450], [0.7450, 0.7450, 0.2412], [0.7578, 0.7578, 0.7578], [0.7588, 0.2550, 0.2550], [0.5000, 0.5000, 0.5000], [0.0000, 0.0000, 0.5000], [0.0000, 0.5000, 0.0000], [0.5000, 0.0000, 0.0000], [0.0000, 0.0000, 0.0000], [0.0000, 0.5000, 0.5000], [0.5000, 0.0000, 0.5000], [0.5000, 0.5000, 0.0000]], "e_form_raw_ev_per_atom": -1.534, "spacegroup": "No. 166", "dos_at_fermi_per_ev_fu": 12.7}

Entry 6:
{"formula": "LiU3Tl3S8", "functional": "PBE", "state": "relaxed", "lattice_angstrom": [[3.9629, 2.2880, 7.5287], [-3.9629, 2.2880, 7.5287], [0.0000, -4.5760, 7.5287]], "species": ["Li", "U", "U", "U", "Tl", "Tl", "Tl", "S", "S", "S", "S", "S", "S", "S", "S"], "fractional_positions": [[0.0000, 0.0000, 0.0000], [0.0000, 0.5000, 0.5000], [0.5000, 0.0000, 0.5000], [0.5000, 0.5000, 0.0000], [0.0000, 0.0000, 0.5000], [0.0000, 0.5000, 0.0000], [0.5000, 0.0000, 0.0000], [0.2351, 0.2351, 0.7200], [0.2351, 0.7200, 0.2351], [0.2669, 0.2669, 0.2669], [0.2800, 0.7649, 0.7649], [0.7200, 0.2351, 0.2351], [0.7331, 0.7331, 0.7331], [0.7649, 0.2800, 0.7649], [0.7649, 0.7649, 0.2800]], "e_form_raw_ev_per_atom": -1.082, "spacegroup": "No. 166", "dos_at_fermi_per_ev_fu": 11.9}

Entry 7:
{"formula": "ZrScCu2", "functional": "PBE", "state": "relaxed", "lattice_angstrom": [[3.3170, 0.0000, 0.0000], [0.0000, 4.3339, 0.0000], [-0.7670, 0.0000, 4.9242]], "species": ["Zr", "Sc", "Cu", "Cu"], "fractional_positions": [[0.0000, 0.0000, 0.0000], [0.1892, 0.5000, 0.5615], [0.5584, 0.5000, 0.1180], [0.6415, 0.0000, 0.4428]], "delta_e_f_mev_per_atom": -180, "spacegroup": "No. 6", "dos_at_fermi_per_ev_fu": 2.9}

Entry 8:
{"formula": "Ac7Nd2Y2", "functional": "PBE", "state": "relaxed", "lattice_angstrom": [[4.8596, -5.1566, 0.0000], [4.8596, 5.1566, 0.0000], [-1.8772, 0.0000, 9.1375]], "species": ["Ac", "Ac", "Ac", "Ac", "Ac", "Ac", "Ac", "Nd", "Nd", "Y", "Y"], "fractional_positions": [[0.0000, 0.0000, 0.0000], [0.0851, 0.4612, 0.7977], [0.1591, 0.1591, 0.4184], [0.4612, 0.0851, 0.7977], [0.5388, 0.9149, 0.2023], [0.8409, 0.8409, 0.5816], [0.9149, 0.5388, 0.2023], [0.3901, 0.3901, 0.1505], [0.6099, 0.6099, 0.8495], [0.3280, 0.6720, 0.5000], [0.6720, 0.3280, 0.5000]], "delta_e_f_mev_per_atom": 99, "spacegroup": "No. 12", "dos_at_fermi_per_ev_fu": 18.7}